The following is a DFT calculation (GGA-PBE) of crystalline CrOsBr2 at its relaxed geometry.

Energy relative to the elements, uncorrected = 1.045 eV per atom
Total moment = 1.22 μB/atom
Crystal system = trigonal
Distance to the lowest polymorph of the same formula = 79.9 kJ/mol of atoms
Raw total energy = -5.004 eV per atom

Structure (CIF):
```
data_CrOsBr2
_chemical_formula_sum 'Cr3 Os3 Br6'
_space_group_name_H-M_alt 'R -3 m'
_space_group_IT_number 166
_space_group_name_Hall '-R 3 2"'
_cell_length_a 3.7980
_cell_length_b 3.7980
_cell_length_c 23.7262
_cell_angle_alpha 90.00
_cell_angle_beta 90.00
_cell_angle_gamma 120.00
loop_
_atom_site_label
_atom_site_type_symbol
_atom_site_fract_x
_atom_site_fract_y
_atom_site_fract_z
_atom_site_occupancy
Cr1 Cr 0.0000 0.0000 0.0000 1
Os1 Os 0.0000 0.0000 0.5000 1
Br1 Br 0.0000 0.0000 0.1122 1
```